# Ba2CaTb

An optimized crystal structure of Ba2CaTb (PBE, Alexandria).

Properties
DOS(E_F) (states/eV per atom): 1.690
Final energy (eV/atom): -2.290
E_form (eV per atom): 0.33

Cell: 14.3308 14.3308 14.3308 Å, 15.53 15.53 15.53°
With the nearest neighbours (Å) after each atom.
Element x y z (fractional)
Ba  0.0843  0.0843  0.0843  1 Tb 3.58, 6 Ba 3.87
Ba  0.9157  0.9157  0.9157  1 Tb 3.58, 6 Ba 3.87
Ca  0.5000  0.5000  0.5000  6 Ca 3.87, 6 Ba 4.15
Tb  0.0000  0.0000  0.0000  2 Ba 3.58, 6 Tb 3.87